1.
Entry from OQMD: a relaxed GdInB4 crystal (GGA-PBE).

Output
Volume (Å³ per cell): 71.6
Magnetic moment (μB/f.u.): 0.00
Calculated total energy (eV per atom): -5.766

Lattice parameters (Å, degrees): 5.1906 5.1906 5.1906 143.71 118.05 73.96
Closest atoms and distances in Å follow each position.
Fractional positions:
1 B 0.9338 0.2605 0.6733  3 B 1.82-1.85
2 B 0.4128 0.7395 0.6733  3 B 1.82-1.85
3 B 0.0662 0.7395 0.3267  3 B 1.82-1.85
4 B 0.5872 0.2605 0.3267  3 B 1.82-1.85
5 Gd 0.0000 0.0000 0.0000  12 B 2.72-2.78
6 In 0.5000 0.5000 0.0000  12 B 2.64-2.85

2.
Entry from OQMD: a relaxed NdYPt4 crystal (GGA-PBE).

Output
Volume (Å³ per cell): 115.7
Calculated formation energy (eV per formula unit): -6.4
Magnetic moment (μB/f.u.): 0.00
Calculated total energy (eV per atom): -6.973

Lattice parameters (Å, degrees): 5.4693 5.4693 5.4693 60.00 60.00 60.00
Closest atoms and distances in Å follow each position.
Fractional positions:
1 Y 0.7500 0.7500 0.7500  12 Pt 3.21, 4 Nd 3.35
2 Pt 0.3753 0.3753 0.3753  6 Pt 2.73-2.74
3 Pt 0.3753 0.3753 0.8741  6 Pt 2.73-2.74
4 Pt 0.3753 0.8741 0.3753  6 Pt 2.73-2.74
5 Pt 0.8741 0.3753 0.3753  6 Pt 2.73-2.74
6 Nd 0.0000 0.0000 0.0000  12 Pt 3.21, 4 Y 3.35

3.
Entry from OQMD: a relaxed Ag2HgIBr3 crystal (GGA-PBE).

Output
Volume (Å³ per cell): 244.9
Calculated total energy (eV per atom): -2.156

Lattice parameters (Å, degrees): 6.2417 6.2477 7.5840 113.46 112.76 91.10
Closest atoms and distances in Å follow each position.
Fractional positions:
1 Br 0.8813 0.3808 0.2455  1 Hg 2.71, 2 Ag 2.72-2.73
2 Br 0.6198 0.6352 0.7413  1 Hg 2.72, 2 Ag 2.73
3 Br 0.1250 0.1172 0.7412  1 Hg 2.70, 2 Ag 2.73-2.74
4 I 0.3651 0.8653 0.2726  1 Hg 2.80, 2 Ag 2.83
5 Ag 0.5004 0.4972 0.9962  3 Br 2.73-2.74, 1 I 2.83
6 Ag 0.7542 0.2553 0.5018  3 Br 2.72-2.73, 1 I 2.83
7 Hg 0.0042 0.9989 0.0014  3 Br 2.70-2.72, 1 I 2.80

4.
Entry from OQMD: a relaxed RbTbCdTe3 crystal (GGA-PBE).

Output
Volume (Å³ per cell): 430.7
Magnetic moment (μB/f.u.): 0.00
Calculated total energy (eV per atom): -3.617

Lattice parameters (Å, degrees): 10.0469 10.0469 9.9350 102.52 102.52 26.14
Closest atoms and distances in Å follow each position.
Fractional positions:
1 Te 0.0000 0.0000 0.5000  4 Cd 3.11, 2 Tb 3.33
2 Te 0.6650 0.6650 0.3658  3 Tb 3.07-3.10
3 Te 0.3350 0.3350 0.6342  3 Tb 3.07-3.10
4 Te 0.6685 0.6685 0.7893  1 Cd 2.91, 2 Tb 3.09
5 Te 0.3315 0.3315 0.2107  1 Cd 2.91, 2 Tb 3.09
6 Te 0.5000 0.5000 0.0000  2 Cd 2.88
7 Cd 0.4839 0.4839 0.2811  4 Te 2.88-3.11
8 Cd 0.5161 0.5161 0.7189  4 Te 2.88-3.11
9 Tb 0.8256 0.8256 0.4182  6 Te 3.07-3.33
10 Tb 0.1744 0.1744 0.5818  6 Te 3.07-3.33
11 Rb 0.8570 0.8570 0.9321  7 Te 3.55-3.70
12 Rb 0.1430 0.1430 0.0679  7 Te 3.55-3.70

5.
Entry from OQMD: a relaxed LuPb2O4 crystal (GGA-PBE).

Output
Volume (Å³ per cell): 238.9
Magnetic moment (μB/f.u.): 1.00
Calculated total energy (eV per atom): -6.257

Lattice parameters (Å, degrees): 6.9643 6.9643 6.9643 119.99 90.01 119.99
Closest atoms and distances in Å follow each position.
Fractional positions:
1 O 0.1235 0.2471 0.3706  1 Lu 2.11
2 O 0.1235 0.7529 0.8764  1 Lu 2.11
3 O 0.6265 0.2529 0.8794  1 Lu 2.11
4 O 0.6264 0.2529 0.3735  1 Lu 2.11
5 O 0.1236 0.2471 0.8765  1 Lu 2.11
6 O 0.6265 0.7471 0.3736  1 Lu 2.11
7 O 0.6294 0.7529 0.8765  1 Lu 2.11
8 O 0.1206 0.7471 0.3735  1 Lu 2.11
9 Pb 0.3750 0.7500 0.6250  6 O 2.48
10 Pb 0.3750 0.2500 0.6250  6 O 2.48
11 Pb 0.8750 0.2500 0.6250  6 O 2.48
12 Pb 0.3750 0.7500 0.1250  6 O 2.48
13 Lu 0.7500 0.5000 0.2500  4 O 2.11
14 Lu 0.0000 0.0000 0.0000  4 O 2.11

6.
Entry from OQMD: a relaxed NpPt crystal (GGA-PBE).

Output
Volume (Å³ per cell): 62.0
Calculated formation energy (eV per formula unit): 0.5
Magnetic moment (μB/f.u.): 4.52
Calculated total energy (eV per atom): -9.146

Lattice parameters (Å, degrees): 4.4433 4.4433 4.4433 60.00 60.00 60.00
Closest atoms and distances in Å follow each position.
Fractional positions:
1 Pt 0.2500 0.2500 0.2500  4 Np 2.72
2 Np 0.0000 0.0000 0.0000  4 Pt 2.72

7.
Entry from OQMD: a relaxed ZrCuBMo crystal (GGA-PBE).

Output
Volume (Å³ per cell): 57.2
Magnetic moment (μB/f.u.): 0.00
Calculated total energy (eV per atom): -6.693

Lattice parameters (Å, degrees): 4.3256 4.3256 4.3256 60.00 60.00 60.00
Closest atoms and distances in Å follow each position.
Fractional positions:
1 Mo 0.2500 0.2500 0.2500  4 Zr 2.65, 4 B 2.65
2 Zr 0.5000 0.5000 0.5000  4 Cu 2.65, 4 Mo 2.65
3 Cu 0.7500 0.7500 0.7500  4 B 2.65, 4 Zr 2.65
4 B 0.0000 0.0000 0.0000  4 Cu 2.65, 4 Mo 2.65

8.
Entry from OQMD: a relaxed Pr3OsO7 crystal (GGA-PBE).

Output
Volume (Å³ per cell): 310.0
Magnetic moment (μB/f.u.): 3.00
Calculated total energy (eV per atom): -8.094

Lattice parameters (Å, degrees): 6.6461 6.6461 7.5691 90.00 90.00 68.00
Closest atoms and distances in Å follow each position.
Fractional positions:
1 Pr 0.9118 0.5320 0.2500  7 O 2.30-2.56
2 Pr 0.0000 0.0000 0.5000  4 O 2.39
3 Pr 0.0882 0.4680 0.7500  7 O 2.30-2.56
4 Pr 0.4680 0.0882 0.2500  7 O 2.30-2.56
5 Pr 0.0000 0.0000 0.0000  4 O 2.39
6 Pr 0.5320 0.9118 0.7500  7 O 2.30-2.56
7 O 0.1891 0.5597 0.0423  1 Os 1.98
8 O 0.5597 0.1891 0.9577  1 Os 1.98
9 O 0.1013 0.1601 0.2500  4 Pr 2.30-2.39
10 O 0.8399 0.8987 0.2500  4 Pr 2.30-2.39
11 O 0.5597 0.1891 0.5423  1 Os 1.98
12 O 0.4403 0.8109 0.0423  1 Os 1.98
13 O 0.1891 0.5597 0.4577  1 Os 1.98
14 O 0.1601 0.1013 0.7500  4 Pr 2.30-2.39
15 O 0.4142 0.5858 0.7500  2 Os 2.00
16 O 0.8109 0.4403 0.9577  1 Os 1.98
17 O 0.8987 0.8399 0.7500  4 Pr 2.30-2.39
18 O 0.5858 0.4142 0.2500  2 Os 2.00
19 O 0.8109 0.4403 0.5423  1 Os 1.98
20 O 0.4403 0.8109 0.4577  1 Os 1.98
21 Os 0.5000 0.5000 0.0000  6 O 1.98-2.00
22 Os 0.5000 0.5000 0.5000  6 O 1.98-2.00

9.
Entry from OQMD: a relaxed ReNi crystal (GGA-PBE).

Output
Volume (Å³ per cell): 67.0
Calculated formation energy (eV per formula unit): 2.7
Magnetic moment (μB/f.u.): 0.01
Calculated total energy (eV per atom): -7.622

Lattice parameters (Å, degrees): 4.0220 4.0220 4.7817 90.00 90.00 120.00
Closest atoms and distances in Å follow each position.
Fractional positions:
1 Re 0.3333 0.6667 0.9340  5 Ni 2.32-2.42
2 Re 0.0000 0.0000 0.4340  5 Ni 2.32-2.42
3 Ni 0.0000 0.0000 0.9410  5 Re 2.32-2.42
4 Ni 0.3333 0.6667 0.4410  5 Re 2.32-2.42

10.
Entry from OQMD: a relaxed ZnCuMoPb crystal (GGA-PBE).

Output
Volume (Å³ per cell): 69.2
Magnetic moment (μB/f.u.): 0.92
Calculated total energy (eV per atom): -4.243

Lattice parameters (Å, degrees): 4.6077 4.6077 4.6077 60.00 60.00 60.00
Closest atoms and distances in Å follow each position.
Fractional positions:
1 Cu 0.7500 0.7500 0.7500  4 Pb 2.82, 4 Zn 2.82
2 Mo 0.2500 0.2500 0.2500  4 Zn 2.82, 4 Pb 2.82
3 Zn 0.5000 0.5000 0.5000  4 Cu 2.82, 4 Mo 2.82
4 Pb 0.0000 0.0000 0.0000  4 Cu 2.82, 4 Mo 2.82